DFT (GGA-PBE) results for PuPdSe4 after structural relaxation.

Its calculated density is 8.02 g/cm3. The volume is 276 Å³ per cell. As for the space-group type: P2_1/c (14). The uncorrected formation energy comes out at -0.599 eV/atom. The total magnetization comes out at 4.50 μB per formula unit.

CIF file:
```
data_PuPdSe4
_space_group_name_H-M_alt 'P 1'
_space_group_IT_number 1
_cell_length_a 5.555
_cell_length_b 7.241
_cell_length_c 6.859
_cell_angle_alpha 90.00
_cell_angle_beta 91.15
_cell_angle_gamma 90.00
loop_
_space_group_symop_operation_xyz
'x,y,z'
loop_
_atom_site_label
_atom_site_fract_x
_atom_site_fract_y
_atom_site_fract_z
Pu1 0.000 0.000 0.000
Pu2 0.500 0.500 0.000
Pd1 0.500 0.000 0.500
Pd2 0.000 0.500 0.500
Se1 0.002 0.636 0.165
Se2 0.498 0.136 0.835
Se3 0.258 0.255 0.314
Se4 0.242 0.755 0.686
Se5 0.998 0.364 0.835
Se6 0.502 0.864 0.165
Se7 0.742 0.745 0.686
Se8 0.758 0.245 0.314
```